# 1
VASP calculation (GGA-PBEsol) on an optimized crystal structure of CdCu.

a b c (Å): 3.040 3.040 6.719
angles (deg): 90.00 90.00 90.00
Space group P4/nmm (No. 129, origin choice 2)
Asymmetric unit:
Cd1 0.250 0.250 0.162 x2
Cu1 0.250 0.250 0.589 x2

Computed properties:
The value obtained for the formation energy is 33.1 meV per atom.

# 2
VASP calculation (GGA-PBEsol) on an optimized crystal structure of LaZnAs.

a b c (Å): 3.594 3.594 10.229
angles (deg): 90.00 90.00 90.00
Space group I4mm (No. 107)
Asymmetric unit:
La1 0.000 0.000 0.000 x2
Zn1 0.000 0.000 0.694 x2
As1 0.000 0.000 0.303 x2

Computed properties:
The value obtained for the formation energy is -522.8 meV per atom.